1.
Density functional theory data (PBE) for a geometry-optimized YInIO2 structure.

Properties
M_tot = 0.00 Bohr magnetons per cell
mass density = 5.8 g/cm³
N(E_F) = 0.430 states/eV/atom
E = -24.15 eV per cell

```
data_YInIO2
_chemical_formula_sum 'Y1 In1 I1 O2'
_symmetry_space_group_name_H-M 'P 4/m m m'
_symmetry_Int_Tables_number 123
_symmetry_space_group_name_Hall '-P 4 2'
_cell_length_a 4.2879
_cell_length_b 4.2879
_cell_length_c 5.6916
_cell_angle_alpha 90.00
_cell_angle_beta 90.00
_cell_angle_gamma 90.00
loop_
_atom_site_label
_atom_site_type_symbol
_atom_site_fract_x
_atom_site_fract_y
_atom_site_fract_z
Y1 Y 0.0000 0.0000 0.0000
In1 In 0.5000 0.5000 0.5000
I1 I 0.5000 0.5000 0.0000
O1 O 0.0000 0.5000 0.5000
```



2.
Density functional theory data (PBE) for a geometry-optimized ErNi6As2 structure.

Properties
M_tot = 1.41 Bohr magnetons per cell
DFT formation energy = -0.343 eV per atom
mass density = 9.0 g/cm³
N(E_F) = 1.622 states/eV/atom
E = -51.64 eV per cell

```
data_ErNi6As2
_chemical_formula_sum 'Er1 Ni6 As2'
_symmetry_space_group_name_H-M 'P 4/m m m'
_symmetry_Int_Tables_number 123
_symmetry_space_group_name_Hall '-P 4 2'
_cell_length_a 3.9197
_cell_length_b 3.9197
_cell_length_c 8.0610
_cell_angle_alpha 90.00
_cell_angle_beta 90.00
_cell_angle_gamma 90.00
loop_
_atom_site_label
_atom_site_type_symbol
_atom_site_fract_x
_atom_site_fract_y
_atom_site_fract_z
Er1 Er 0.0000 0.0000 0.0000
Ni1 Ni 0.0000 0.0000 0.5000
Ni2 Ni 0.0000 0.5000 0.3107
Ni3 Ni 0.5000 0.5000 0.5000
As1 As 0.5000 0.5000 0.1604
```



3.
Density functional theory data (PBE) for a geometry-optimized La2Ga3SiPt4 structure.

Properties
M_tot = 0.00 Bohr magnetons per cell
mass density = 11.0 g/cm³
N(E_F) = 0.677 states/eV/atom
E = -58.76 eV per cell

```
data_La2Ga3SiPt4
_chemical_formula_sum 'La2 Ga3 Si1 Pt4'
_symmetry_space_group_name_H-M 'P -4 m 2'
_symmetry_Int_Tables_number 115
_symmetry_space_group_name_Hall 'P -4 -2'
_cell_length_a 4.3620
_cell_length_b 4.3620
_cell_length_c 10.2685
_cell_angle_alpha 90.00
_cell_angle_beta 90.00
_cell_angle_gamma 90.00
loop_
_atom_site_label
_atom_site_type_symbol
_atom_site_fract_x
_atom_site_fract_y
_atom_site_fract_z
La1 La 0.0000 0.5000 0.2428
Ga1 Ga 0.0000 0.0000 0.0000
Ga2 Ga 0.0000 0.5000 0.6310
Si1 Si 0.5000 0.5000 0.0000
Pt1 Pt 0.0000 0.0000 0.5000
Pt2 Pt 0.0000 0.5000 0.8780
Pt3 Pt 0.5000 0.5000 0.5000
```



4.
Density functional theory data (PBE) for a geometry-optimized Ac3NdDy2Te6 structure.

Properties
M_tot = 0.00 Bohr magnetons per cell
mass density = 7.9 g/cm³
N(E_F) = 0.504 states/eV/atom
E = -124.01 eV per cell

```
data_Ac3NdDy2Te6
_chemical_formula_sum 'Ac6 Nd2 Dy4 Te12'
_symmetry_space_group_name_H-M 'C 1 2/m 1'
_symmetry_Int_Tables_number 12
_symmetry_space_group_name_Hall '-C 2y'
_cell_length_a 20.1330
_cell_length_b 4.4793
_cell_length_c 9.3166
_cell_angle_alpha 90.00
_cell_angle_beta 106.00
_cell_angle_gamma 90.00
loop_
_atom_site_label
_atom_site_type_symbol
_atom_site_fract_x
_atom_site_fract_y
_atom_site_fract_z
Ac1 Ac 0.0000 0.0000 0.0000
Ac2 Ac 0.1632 0.5000 0.3312
Nd1 Nd 0.0000 0.0000 0.5000
Dy1 Dy 0.1656 0.5000 0.8309
Te1 Te 0.0076 0.5000 0.7438
Te2 Te 0.1653 0.0000 0.6001
Te3 Te 0.1732 0.0000 0.0678
```



5.
Density functional theory data (PBE) for a geometry-optimized Rb4DyU3Se8 structure.

Properties
M_tot = 18.02 Bohr magnetons per cell
mass density = 6.1 g/cm³
N(E_F) = 1.104 states/eV/atom
E = -183.09 eV per cell

```
data_Rb4DyU3Se8
_chemical_formula_sum 'Rb8 Dy2 U6 Se16'
_symmetry_space_group_name_H-M 'C 1 2/m 1'
_symmetry_Int_Tables_number 12
_symmetry_space_group_name_Hall '-C 2y'
_cell_length_a 14.7211
_cell_length_b 8.4970
_cell_length_c 9.4321
_cell_angle_alpha 90.00
_cell_angle_beta 121.35
_cell_angle_gamma 90.00
loop_
_atom_site_label
_atom_site_type_symbol
_atom_site_fract_x
_atom_site_fract_y
_atom_site_fract_z
Rb1 Rb 0.0000 0.0000 0.0000
Rb2 Rb 0.0000 0.5000 0.0000
Rb3 Rb 0.2500 0.2500 0.0000
Dy1 Dy 0.0000 0.0000 0.5000
U1 U 0.0000 0.5000 0.5000
U2 U 0.2500 0.2500 0.5000
Se1 Se 0.0165 0.2485 0.3022
Se2 Se 0.2314 0.0000 0.6975
Se3 Se 0.2331 0.5000 0.6982
```



6.
Density functional theory data (PBE) for a geometry-optimized SrSc2ReN4 structure.

Properties
M_tot = 0.00 Bohr magnetons per cell
mass density = 6.3 g/cm³
N(E_F) = 0.258 states/eV/atom
E = -272.70 eV per cell

```
data_SrSc2ReN4
_chemical_formula_sum 'Sr4 Sc8 Re4 N16'
_symmetry_space_group_name_H-M 'C m c m'
_symmetry_Int_Tables_number 63
_symmetry_space_group_name_Hall '-C 2c 2'
_cell_length_a 3.2867
_cell_length_b 11.6060
_cell_length_c 11.6335
_cell_angle_alpha 90.00
_cell_angle_beta 90.00
_cell_angle_gamma 90.00
loop_
_atom_site_label
_atom_site_type_symbol
_atom_site_fract_x
_atom_site_fract_y
_atom_site_fract_z
Sr1 Sr 0.0000 0.0757 0.2500
Sc1 Sc 0.0000 0.3726 0.0380
Re1 Re 0.0000 0.1874 0.7500
N1 N 0.0000 0.0000 0.0000
N2 N 0.0000 0.2588 0.6050
N3 N 0.0000 0.4104 0.2500
```



7.
Density functional theory data (PBE) for a geometry-optimized Ag2AsRu structure.

Properties
M_tot = 3.04 Bohr magnetons per cell
DFT formation energy = 0.465 eV per atom
mass density = 9.5 g/cm³
N(E_F) = 0.857 states/eV/atom
E = -53.30 eV per cell

```
data_Ag2AsRu
_chemical_formula_sum 'Ag6 As3 Ru3'
_symmetry_space_group_name_H-M 'R -3 m'
_symmetry_Int_Tables_number 166
_symmetry_space_group_name_Hall '-R 3 2"'
_cell_length_a 2.8986
_cell_length_b 2.8986
_cell_length_c 28.2051
_cell_angle_alpha 90.00
_cell_angle_beta 90.00
_cell_angle_gamma 120.00
loop_
_atom_site_label
_atom_site_type_symbol
_atom_site_fract_x
_atom_site_fract_y
_atom_site_fract_z
Ag1 Ag 0.0000 0.0000 0.2487
As1 As 0.0000 0.0000 0.0000
Ru1 Ru 0.0000 0.0000 0.5000
```



8.
Density functional theory data (PBE) for a geometry-optimized Sn2Hg2F structure.

Properties
M_tot = 0.00 Bohr magnetons per cell
mass density = 8.9 g/cm³
N(E_F) = 0.532 states/eV/atom
E = -26.06 eV per cell

```
data_Sn2Hg2F
_chemical_formula_sum 'Sn4 Hg4 F2'
_symmetry_space_group_name_H-M 'P 4/m b m'
_symmetry_Int_Tables_number 127
_symmetry_space_group_name_Hall '-P 4 2ab'
_cell_length_a 6.8521
_cell_length_b 6.8521
_cell_length_c 5.2200
_cell_angle_alpha 90.00
_cell_angle_beta 90.00
_cell_angle_gamma 90.00
loop_
_atom_site_label
_atom_site_type_symbol
_atom_site_fract_x
_atom_site_fract_y
_atom_site_fract_z
Sn1 Sn 0.1690 0.3310 0.0000
Hg1 Hg 0.1704 0.6704 0.5000
F1 F 0.0000 0.0000 0.0000
```



9.
Density functional theory data (PBE) for a geometry-optimized PaSbPt4 structure.

Properties
M_tot = 3.76 Bohr magnetons per cell
mass density = 16.6 g/cm³
N(E_F) = 1.446 states/eV/atom
E = -166.04 eV per cell

```
data_PaSbPt4
_chemical_formula_sum 'Pa4 Sb4 Pt16'
_symmetry_space_group_name_H-M 'F -4 3 m'
_symmetry_Int_Tables_number 216
_symmetry_space_group_name_Hall 'F -4 2 3'
_cell_length_a 7.6781
_cell_length_b 7.6781
_cell_length_c 7.6781
_cell_angle_alpha 90.00
_cell_angle_beta 90.00
_cell_angle_gamma 90.00
loop_
_atom_site_label
_atom_site_type_symbol
_atom_site_fract_x
_atom_site_fract_y
_atom_site_fract_z
Pa1 Pa 0.0000 0.0000 0.0000
Sb1 Sb 0.2500 0.2500 0.7500
Pt1 Pt 0.1252 0.1252 0.3748
```



10.
Density functional theory data (PBE) for a geometry-optimized Pr3Er2Pb4 structure.

Properties
M_tot = 0.00 Bohr magnetons per cell
DFT formation energy = -0.468 eV per atom
mass density = 9.2 g/cm³
N(E_F) = 0.539 states/eV/atom
E = -85.01 eV per cell

```
data_Pr3Er2Pb4
_chemical_formula_sum 'Pr6 Er4 Pb8'
_symmetry_space_group_name_H-M 'C 1 2/m 1'
_symmetry_Int_Tables_number 12
_symmetry_space_group_name_Hall '-C 2y'
_cell_length_a 16.5130
_cell_length_b 5.1513
_cell_length_c 6.9738
_cell_angle_alpha 90.00
_cell_angle_beta 105.32
_cell_angle_gamma 90.00
loop_
_atom_site_label
_atom_site_type_symbol
_atom_site_fract_x
_atom_site_fract_y
_atom_site_fract_z
Pr1 Pr 0.0000 0.0000 0.0000
Pr2 Pr 0.1209 0.0000 0.5803
Er1 Er 0.1656 0.5000 0.0739
Pb1 Pb 0.0061 0.5000 0.2846
Pb2 Pb 0.2411 0.0000 0.2700
```



11.
Density functional theory data (PBE) for a geometry-optimized Sr6Li15Cd8 structure.

Properties
M_tot = 0.00 Bohr magnetons per cell
DFT formation energy = -0.177 eV per atom
mass density = 3.4 g/cm³
N(E_F) = 0.597 states/eV/atom
E = -204.98 eV per cell

```
data_Sr6Li15Cd8
_chemical_formula_sum 'Sr24 Li60 Cd32'
_symmetry_space_group_name_H-M 'F m -3 m'
_symmetry_Int_Tables_number 225
_symmetry_space_group_name_Hall '-F 4 2 3'
_cell_length_a 14.3595
_cell_length_b 14.3595
_cell_length_c 14.3595
_cell_angle_alpha 90.00
_cell_angle_beta 90.00
_cell_angle_gamma 90.00
loop_
_atom_site_label
_atom_site_type_symbol
_atom_site_fract_x
_atom_site_fract_y
_atom_site_fract_z
Sr1 Sr 0.0000 0.0000 0.2157
Li1 Li 0.0000 0.0000 0.5000
Li2 Li 0.0000 0.2500 0.2500
Li3 Li 0.1782 0.1782 0.1782
Cd1 Cd 0.1253 0.1253 0.3747
```



12.
Density functional theory data (PBE) for a geometry-optimized K3Pr3AlSe8 structure.

Properties
M_tot = 0.00 Bohr magnetons per cell
mass density = 4.1 g/cm³
N(E_F) = 0.918 states/eV/atom
E = -141.29 eV per cell

```
data_K3Pr3AlSe8
_chemical_formula_sum 'K6 Pr6 Al2 Se16'
_symmetry_space_group_name_H-M 'C 1 2/m 1'
_symmetry_Int_Tables_number 12
_symmetry_space_group_name_Hall '-C 2y'
_cell_length_a 14.6806
_cell_length_b 8.4648
_cell_length_c 9.2986
_cell_angle_alpha 90.00
_cell_angle_beta 121.77
_cell_angle_gamma 90.00
loop_
_atom_site_label
_atom_site_type_symbol
_atom_site_fract_x
_atom_site_fract_y
_atom_site_fract_z
K1 K 0.0000 0.0000 0.0000
K2 K 0.2500 0.2500 0.0000
Pr1 Pr 0.0000 0.5000 0.5000
Pr2 Pr 0.2500 0.2500 0.5000
Al1 Al 0.0000 0.0000 0.5000
Se1 Se 0.0102 0.2230 0.3074
Se2 Se 0.2129 0.0000 0.6925
Se3 Se 0.2380 0.5000 0.7142
```



Question: What is the M_tot in the eleventh record?
Answer: 0.00 Bohr magnetons per cell



Question: Look up the N(E_F) of the tenth one.
Answer: 0.539 states/eV/atom



Question: Among the records above, which one has the lowest E?
Answer: SrSc2ReN4



Copy entry 6 word for word.
Density functional theory data (PBE) for a geometry-optimized SrSc2ReN4 structure.

Properties
M_tot = 0.00 Bohr magnetons per cell
mass density = 6.3 g/cm³
N(E_F) = 0.258 states/eV/atom
E = -272.70 eV per cell

```
data_SrSc2ReN4
_chemical_formula_sum 'Sr4 Sc8 Re4 N16'
_symmetry_space_group_name_H-M 'C m c m'
_symmetry_Int_Tables_number 63
_symmetry_space_group_name_Hall '-C 2c 2'
_cell_length_a 3.2867
_cell_length_b 11.6060
_cell_length_c 11.6335
_cell_angle_alpha 90.00
_cell_angle_beta 90.00
_cell_angle_gamma 90.00
loop_
_atom_site_label
_atom_site_type_symbol
_atom_site_fract_x
_atom_site_fract_y
_atom_site_fract_z
Sr1 Sr 0.0000 0.0757 0.2500
Sc1 Sc 0.0000 0.3726 0.0380
Re1 Re 0.0000 0.1874 0.7500
N1 N 0.0000 0.0000 0.0000
N2 N 0.0000 0.2588 0.6050
N3 N 0.0000 0.4104 0.2500
```